No. 1
A geometry-optimized BaBeTlSi2 structure. Source: the Alexandria database, functional PBE-GGA. Values from VASP.

```
&SYSTEM
  ibrav = 0, nat = 5, ntyp = 4
/
ATOMIC_SPECIES
Be 9.01 Be.upf
Tl 204.38 Tl.upf
Si 28.09 Si.upf
Ba 137.33 Ba.upf
CELL_PARAMETERS angstrom
5.226 0.000 0.000
0.000 6.527 0.000
0.000 0.000 5.226
ATOMIC_POSITIONS angstrom
Be 2.613 3.263 2.613
Tl 0.000 0.000 0.000
Si 0.000 0.000 2.613
Si 2.613 0.000 0.000
Ba 0.000 3.263 0.000
```

Calculated values
density = 3.79 Mg/m³
magnetic moment = 0.0 μB per formula unit
E = -2.536 eV per atom
calculated volume = 35.6 Å³/atom
uncorrected formation energy = 596 kJ/mol of formula units

***

No. 2
A geometry-optimized BaY2BeSi structure. Source: the Alexandria database, functional PBE-GGA. Values from VASP.

```
&SYSTEM
  ibrav = 0, nat = 5, ntyp = 4
/
ATOMIC_SPECIES
Y 88.91 Y.upf
Be 9.01 Be.upf
Si 28.09 Si.upf
Ba 137.33 Ba.upf
CELL_PARAMETERS angstrom
5.657 0.000 0.000
0.000 4.684 0.000
0.000 0.000 5.657
ATOMIC_POSITIONS angstrom
Y 0.000 0.000 2.828
Y 2.828 0.000 0.000
Be 0.000 2.342 0.000
Si 2.828 2.342 2.828
Ba 0.000 0.000 0.000
```

Calculated values
density = 3.90 Mg/m³
magnetic moment = 0.0 μB per formula unit
E = -3.166 eV per atom
calculated volume = 30.0 Å³/atom
uncorrected formation energy = 788 kJ/mol of formula units

***

No. 3
A geometry-optimized Ba3BeSn structure. Source: the Alexandria database, functional PBE-GGA. Values from VASP.

```
&SYSTEM
  ibrav = 0, nat = 5, ntyp = 3
/
ATOMIC_SPECIES
Be 9.01 Be.upf
Ba 137.33 Ba.upf
Sn 118.71 Sn.upf
CELL_PARAMETERS angstrom
5.993 0.000 0.000
0.000 5.993 0.000
0.000 0.000 5.993
ATOMIC_POSITIONS angstrom
Be 0.000 0.000 0.000
Ba 0.000 2.997 0.000
Ba 0.000 0.000 2.997
Ba 2.997 0.000 0.000
Sn 2.997 2.997 2.997
```

Calculated values
calculated formation energy = 18 kJ/mol of atoms
density = 4.16 Mg/m³
magnetic moment = 0.0 μB per formula unit
E = -2.513 eV per atom
ΔE to the lowest computed polymorph = 0.000 eV per atom
calculated volume = 43.1 Å³/atom

***

No. 4
A geometry-optimized Ba2Be2Sn structure. Source: the Alexandria database, functional PBE-GGA. Values from VASP.

```
&SYSTEM
  ibrav = 0, nat = 10, ntyp = 3
/
ATOMIC_SPECIES
Be 9.01 Be.upf
Ba 137.33 Ba.upf
Sn 118.71 Sn.upf
CELL_PARAMETERS angstrom
-1.178 6.206 3.659
-7.153 -0.566 -1.343
-0.608 -2.694 4.373
ATOMIC_POSITIONS angstrom
Be -6.882 1.955 0.247
Be -5.371 5.225 2.471
Be -1.449 3.685 2.068
Be -2.960 0.416 -0.155
Ba -5.506 -0.529 1.967
Ba -6.880 2.512 3.649
Ba -3.433 3.476 4.722
Ba -2.059 0.435 3.040
Sn 0.000 0.000 0.000
Sn -4.165 2.820 1.158
```

Calculated values
calculated formation energy = 14 kJ/mol of atoms
density = 4.96 Mg/m³
magnetic moment = 0.0 μB per formula unit
E = -2.912 eV per atom
ΔE to the lowest computed polymorph = 0.000 eV per atom
calculated volume = 27.6 Å³/atom

***

No. 5
A geometry-optimized BaBe2Sn structure. Source: the Alexandria database, functional PBE-GGA. Values from VASP.

```
&SYSTEM
  ibrav = 0, nat = 8, ntyp = 3
/
ATOMIC_SPECIES
Be 9.01 Be.upf
Ba 137.33 Ba.upf
Sn 118.71 Sn.upf
CELL_PARAMETERS angstrom
5.014 0.000 0.000
0.000 5.014 0.000
2.507 2.507 8.285
ATOMIC_POSITIONS angstrom
Be 2.506 1.254 2.071
Be 2.508 3.761 2.071
Be 3.761 5.015 6.214
Be 6.268 5.013 6.214
Ba 0.000 0.000 0.000
Ba 5.014 2.507 4.143
Sn 2.507 2.507 0.000
Sn 2.507 5.014 4.143
```

Calculated values
calculated formation energy = 19 kJ/mol of atoms
density = 4.37 Mg/m³
magnetic moment = 0.0 μB per formula unit
E = -3.152 eV per atom
calculated volume = 26.0 Å³/atom

***

No. 6
A geometry-optimized BaBeSn3 structure. Source: the Alexandria database, functional PBE-GGA. Values from VASP.

```
&SYSTEM
  ibrav = 0, nat = 5, ntyp = 3
/
ATOMIC_SPECIES
Be 9.01 Be.upf
Ba 137.33 Ba.upf
Sn 118.71 Sn.upf
CELL_PARAMETERS angstrom
-5.060 -3.507 1.363
-0.110 -2.144 -5.929
3.761 -4.782 1.660
ATOMIC_POSITIONS angstrom
Be -0.705 -5.217 -1.453
Ba 0.000 0.000 0.000
Sn -0.055 -1.072 -2.964
Sn 1.880 -2.391 0.830
Sn -2.530 -1.753 0.681
```

Calculated values
calculated formation energy = 148 kJ/mol of atoms
density = 3.33 Mg/m³
magnetic moment = 0.0 μB per formula unit
E = -1.995 eV per atom
ΔE to the lowest computed polymorph = 1.595 eV per atom
calculated volume = 50.1 Å³/atom

***

No. 7
A geometry-optimized Ba2BeSn2 structure. Source: the Alexandria database, functional PBE-GGA. Values from VASP.

```
&SYSTEM
  ibrav = 0, nat = 10, ntyp = 3
/
ATOMIC_SPECIES
Be 9.01 Be.upf
Ba 137.33 Ba.upf
Sn 118.71 Sn.upf
CELL_PARAMETERS angstrom
7.507 0.000 0.000
0.000 7.507 0.000
0.000 0.000 5.651
ATOMIC_POSITIONS angstrom
Be 0.000 0.000 0.000
Be 3.754 3.754 0.000
Ba 1.254 5.008 2.826
Ba 5.008 6.253 2.826
Ba 6.253 2.500 2.826
Ba 2.500 1.254 2.826
Sn 2.661 6.415 0.000
Sn 6.415 4.846 0.000
Sn 4.846 1.093 0.000
Sn 1.093 2.661 0.000
```

Calculated values
calculated formation energy = -12 kJ/mol of atoms
density = 5.43 Mg/m³
magnetic moment = 0.0 μB per formula unit
E = -3.238 eV per atom
calculated volume = 31.9 Å³/atom

***

No. 8
A geometry-optimized Ba2Be2Sn structure. Source: the Alexandria database, functional PBE-GGA. Values from VASP.

```
&SYSTEM
  ibrav = 0, nat = 5, ntyp = 3
/
ATOMIC_SPECIES
Be 9.01 Be.upf
Ba 137.33 Ba.upf
Sn 118.71 Sn.upf
CELL_PARAMETERS angstrom
-1.730 4.625 4.253
0.362 -4.331 4.857
2.661 0.960 5.031
ATOMIC_POSITIONS angstrom
Be 0.292 0.384 4.694
Be 1.001 0.870 9.447
Ba 0.123 2.866 6.920
Ba 1.169 -1.612 7.221
Sn 0.000 0.000 0.000
```

Calculated values
calculated formation energy = 18 kJ/mol of atoms
density = 4.63 Mg/m³
magnetic moment = 0.0 μB per formula unit
E = -2.877 eV per atom
ΔE to the lowest computed polymorph = 0.035 eV per atom
calculated volume = 29.5 Å³/atom

***

What did the fifth record say?
A geometry-optimized BaBe2Sn structure. Source: the Alexandria database, functional PBE-GGA. Values from VASP.

```
&SYSTEM
  ibrav = 0, nat = 8, ntyp = 3
/
ATOMIC_SPECIES
Be 9.01 Be.upf
Ba 137.33 Ba.upf
Sn 118.71 Sn.upf
CELL_PARAMETERS angstrom
5.014 0.000 0.000
0.000 5.014 0.000
2.507 2.507 8.285
ATOMIC_POSITIONS angstrom
Be 2.506 1.254 2.071
Be 2.508 3.761 2.071
Be 3.761 5.015 6.214
Be 6.268 5.013 6.214
Ba 0.000 0.000 0.000
Ba 5.014 2.507 4.143
Sn 2.507 2.507 0.000
Sn 2.507 5.014 4.143
```

Calculated values
calculated formation energy = 19 kJ/mol of atoms
density = 4.37 Mg/m³
magnetic moment = 0.0 μB per formula unit
E = -3.152 eV per atom
calculated volume = 26.0 Å³/atom

***

- Look up the density of the eighth one.
  4.63 Mg/m³

***

- What is the magnetic moment in the seventh record?
  0.0 μB per formula unit